# TbHoCdGa

Crystalline TbHoCdGa at its relaxed geometry (GGA-PBE, the Alexandria database).

- energy relative to the elements (eV/atom) = -0.44
- total moment (μB per cell) = 0.00
- ΔE to the lowest computed polymorph (eV/f.u.) = 0.071
- DOS at the Fermi energy (states/eV/atom) = 0.903
- symmetry = F-43m, No. 216
- density (g cm⁻³) = 8.58
- calculated total energy (eV/atom) = -3.7292

Unit cell a=5.1743 b=5.1743 c=5.1743 alpha=60.00 beta=60.00 gamma=60.00
With the nearest neighbours (Å) after each atom.
Sites, in units of the cell vectors:
Tb 0.0000 0.0000 0.0000  4 Cd 3.17, 4 Ga 3.17
Ho 0.5000 0.5000 0.5000  4 Ga 3.17, 4 Cd 3.17
Cd 0.7500 0.7500 0.7500  4 Ho 3.17, 4 Tb 3.17
Ga 0.2500 0.2500 0.2500  4 Ho 3.17, 4 Tb 3.17